! PuPdS2 PBE optimized geometry; values from VASP
&SYSTEM
  ibrav = 0, nat = 16, ntyp = 3
/
ATOMIC_SPECIES
S 32.06 S.upf
Pd 106.42 Pd.upf
Pu 244.00 Pu.upf
ATOMIC_POSITIONS crystal
S 0.921 0.263 0.485
S 0.079 0.737 0.515
S 0.562 0.684 0.853
S 0.079 0.763 0.015
S 0.921 0.237 0.985
S 0.438 0.316 0.147
S 0.562 0.816 0.353
S 0.438 0.184 0.647
Pd 0.287 0.931 0.806
Pd 0.287 0.569 0.306
Pd 0.713 0.431 0.694
Pd 0.713 0.069 0.194
Pu 0.210 0.450 0.805
Pu 0.790 0.950 0.695
Pu 0.790 0.550 0.195
Pu 0.210 0.050 0.305
CELL_PARAMETERS angstrom
-4.396 -2.355 4.405
3.796 -5.605 0.791
4.139 3.401 4.242
! Energy relative to the elements, uncorrected (eV per atom): -1.14
! Fermi-level density of states (states/eV per cell): 32.1
! E above lowest polymorph (eV/atom): 0.000
! V (Å³ per cell): 306
! Space group: P2_1/c, No. 14

! PuPdS3 PBE optimized geometry; values from VASP
&SYSTEM
  ibrav = 0, nat = 20, ntyp = 3
/
ATOMIC_SPECIES
S 32.06 S.upf
Pu 244.00 Pu.upf
Pd 106.42 Pd.upf
ATOMIC_POSITIONS crystal
S 0.250 0.514 0.386
S 0.750 0.675 0.218
S 0.750 0.986 0.886
S 0.250 0.325 0.782
S 0.250 0.143 0.502
S 0.750 0.486 0.614
S 0.750 0.857 0.498
S 0.250 0.014 0.114
S 0.250 0.825 0.718
S 0.750 0.175 0.282
S 0.750 0.357 0.002
S 0.250 0.643 0.998
Pu 0.250 0.890 0.329
Pu 0.250 0.390 0.171
Pu 0.750 0.610 0.829
Pu 0.750 0.110 0.671
Pd 0.250 0.167 0.946
Pd 0.250 0.667 0.554
Pd 0.750 0.833 0.054
Pd 0.750 0.333 0.446
CELL_PARAMETERS angstrom
-0.884 -0.330 3.712
-7.262 -0.557 -1.778
1.195 -12.840 -0.856
! Energy relative to the elements, uncorrected (eV per atom): -0.90
! Fermi-level density of states (states/eV per cell): 37.1
! V (Å³ per cell): 371
! Space group: Pnma, No. 62

! SrPuPdS3 PBE optimized geometry; values from VASP
&SYSTEM
  ibrav = 0, nat = 12, ntyp = 4
/
ATOMIC_SPECIES
Pd 106.42 Pd.upf
Sr 87.62 Sr.upf
S 32.06 S.upf
Pu 244.00 Pu.upf
ATOMIC_POSITIONS crystal
Pd 0.250 0.108 0.567
Pd 0.750 0.892 0.433
Sr 0.750 0.812 0.770
Sr 0.250 0.188 0.230
S 0.750 0.246 0.520
S 0.250 0.754 0.480
S 0.250 0.562 0.845
S 0.750 0.438 0.155
S 0.750 0.895 0.137
S 0.250 0.105 0.863
Pu 0.750 0.324 0.833
Pu 0.250 0.676 0.167
CELL_PARAMETERS angstrom
4.004 0.000 0.000
0.000 8.213 0.011
0.000 -2.158 8.532
! Energy relative to the elements, uncorrected (eV per atom): -1.46
! Fermi-level density of states (states/eV per cell): 17.4
! V (Å³ per cell): 281
! Space group: P2_1/m, No. 11

! PuTePdS PBE optimized geometry; values from VASP
&SYSTEM
  ibrav = 0, nat = 8, ntyp = 4
/
ATOMIC_SPECIES
S 32.06 S.upf
Te 127.60 Te.upf
Pu 244.00 Pu.upf
Pd 106.42 Pd.upf
ATOMIC_POSITIONS crystal
S 0.500 0.500 0.500
S 0.000 0.000 0.500
Te 0.500 0.000 0.170
Te 0.000 0.500 0.830
Pu 0.500 0.000 0.675
Pu 0.000 0.500 0.325
Pd 0.500 0.500 0.000
Pd 0.000 0.000 0.000
CELL_PARAMETERS angstrom
4.566 0.000 0.000
0.000 4.566 0.000
0.000 0.000 8.563
! Energy relative to the elements, uncorrected (eV per atom): -0.97
! Fermi-level density of states (states/eV per cell): 19.9
! V (Å³ per cell): 179
! Space group: P4/nmm, No. 129

VASP energy values (in eV per atom) by entry order: -8.09, -7.28, -7.06, -7.67.